## B4C (PBE)

Data for B4C after structural relaxation. Values from VASP.

Values from the calculation:
The calculation puts the energy above the most stable polymorph in this dataset at 0.482 eV/atom. The magnetization comes out at 0.00 Bohr magnetons per cell. The value obtained for the energy of formation is 0.3800 eV per atom. The value obtained for the density of states at the Fermi level is 1.167 states/eV/cell.

Cell and atoms, written as Quantum ESPRESSO input:
```
&SYSTEM
  ibrav = 0, nat = 5, ntyp = 2
/
ATOMIC_SPECIES
B 10.81 B.upf
C 12.01 C.upf
CELL_PARAMETERS angstrom
2.8252 0.0000 -0.0052
0.0000 2.8586 0.0000
-1.3910 0.0000 4.4625
ATOMIC_POSITIONS angstrom
B -0.6690 1.4293 3.5625
B 2.1417 0.0000 1.1686
B 0.7297 0.0000 0.0117
B 0.7289 1.4293 1.0393
C 2.1438 1.4293 1.9929
```

## DyPa2Sn (PBE)

Data for DyPa2Sn after structural relaxation. Values from VASP.

Values from the calculation:
The calculation puts the energy above the most stable polymorph in this dataset at 0.431 eV/atom. The magnetization comes out at 0.00 Bohr magnetons per cell. The value obtained for the energy of formation is 0.2355 eV per atom. The value obtained for the density of states at the Fermi level is 9.786 states/eV/cell.

Cell and atoms, written as Quantum ESPRESSO input:
```
&SYSTEM
  ibrav = 0, nat = 4, ntyp = 3
/
ATOMIC_SPECIES
Sn 118.71 Sn.upf
Pa 231.04 Pa.upf
Dy 162.50 Dy.upf
CELL_PARAMETERS angstrom
5.3207 0.0000 0.0000
2.6604 4.6079 0.0000
2.6604 1.5360 4.3455
ATOMIC_POSITIONS angstrom
Sn 0.0000 0.0000 0.0000
Pa 7.9811 4.6079 3.2582
Dy 5.3207 3.0719 2.1727
Pa 2.6604 1.5360 1.0873
```

## PmNdTmHg (PBE)

Data for PmNdTmHg after structural relaxation. Values from VASP.

Values from the calculation:
The calculation puts the energy above the most stable polymorph in this dataset at 0.000 eV/atom. The magnetization comes out at 0.00 Bohr magnetons per cell. The value obtained for the energy of formation is -0.2315 eV per atom. The value obtained for the density of states at the Fermi level is 4.317 states/eV/cell.

Cell and atoms, written as Quantum ESPRESSO input:
```
&SYSTEM
  ibrav = 0, nat = 4, ntyp = 4
/
ATOMIC_SPECIES
Hg 200.59 Hg.upf
Nd 144.24 Nd.upf
Tm 168.93 Tm.upf
Pm 145.00 Pm.upf
CELL_PARAMETERS angstrom
-0.5135 1.4660 -3.3280
-0.8340 -3.3189 -1.3333
-8.5830 1.3805 1.9326
ATOMIC_POSITIONS angstrom
Hg -4.7679 0.7669 1.0736
Nd -0.6870 0.1105 0.1547
Tm -3.7424 -0.4329 -1.6397
Pm -7.4683 0.1664 -0.8008
```